Material: YNiNF2
Method: DFT, PBE+U
State: optimized geometry

Lattice parameters (Å, degrees): 3.779 3.779 4.343 90.00 90.00 90.00
Atoms (fractional coordinates):
Y 0.000 0.000 0.000
Ni 0.500 0.500 0.500
N 0.500 0.500 0.000
F 0.000 0.500 0.500
F 0.500 0.000 0.500

Properties
Energy   -5.808 eV/atom
E above lowest polymorph   0 meV per atom